[1]
# YGaAu2O4 (PBE, relaxed)
# DFT total energy	-48.34	eV per cell
data_YGaAu2O4
_cell_length_a 3.2632
_cell_length_b 3.2632
_cell_length_c 12.4202
_cell_angle_alpha 90.00
_cell_angle_beta 90.00
_cell_angle_gamma 120.00
_space_group_name_H-M_alt 'P -3 m 1'
_space_group_IT_number 164
_space_group_name_Hall '-P 3 2"'
loop_
_atom_site_label
_atom_site_type_symbol
_atom_site_fract_x
_atom_site_fract_y
_atom_site_fract_z
Y1 Y 0.0000 0.0000 0.0000
Ga1 Ga 0.0000 0.0000 0.5000
Au1 Au 0.3333 0.6667 0.7406
O1 O 0.3333 0.6667 0.5734
O2 O 0.3333 0.6667 0.9062

***

[2]
# GaOsAu (PBE, relaxed)
# DFT total energy	-62.71	eV per cell
data_GaOsAu
_cell_length_a 6.0973
_cell_length_b 6.0973
_cell_length_c 6.0973
_cell_angle_alpha 90.00
_cell_angle_beta 90.00
_cell_angle_gamma 90.00
_space_group_name_H-M_alt 'F -4 3 m'
_space_group_IT_number 216
_space_group_name_Hall 'F -4 2 3'
loop_
_atom_site_label
_atom_site_type_symbol
_atom_site_fract_x
_atom_site_fract_y
_atom_site_fract_z
Ga1 Ga 0.0000 0.0000 0.0000
Os1 Os 0.2500 0.2500 0.7500
Au1 Au 0.0000 0.0000 0.5000

***

[3]
# GaP2Au2 (PBE, relaxed)
# DFT total energy	-83.57	eV per cell
data_GaP2Au2
_cell_length_a 3.2162
_cell_length_b 11.3394
_cell_length_c 11.3024
_cell_angle_alpha 90.00
_cell_angle_beta 90.00
_cell_angle_gamma 90.00
_space_group_name_H-M_alt 'C m c m'
_space_group_IT_number 63
_space_group_name_Hall '-C 2c 2'
loop_
_atom_site_label
_atom_site_type_symbol
_atom_site_fract_x
_atom_site_fract_y
_atom_site_fract_z
Ga1 Ga 0.0000 0.0276 0.2500
P1 P 0.0000 0.2977 0.0448
Au1 Au 0.0000 0.2702 0.2500
Au2 Au 0.0000 0.5000 0.0000

***

[4]
# Pa4Ga12Au (PBE, relaxed)
# DFT total energy	-167.84	eV per cell
data_Pa4Ga12Au
_cell_length_a 8.6866
_cell_length_b 8.6866
_cell_length_c 8.6866
_cell_angle_alpha 90.00
_cell_angle_beta 90.00
_cell_angle_gamma 90.00
_space_group_name_H-M_alt 'I m -3 m'
_space_group_IT_number 229
_space_group_name_Hall '-I 4 2 3'
loop_
_atom_site_label
_atom_site_type_symbol
_atom_site_fract_x
_atom_site_fract_y
_atom_site_fract_z
Pa1 Pa 0.2500 0.2500 0.2500
Ga1 Ga 0.0000 0.0000 0.3040
Ga2 Ga 0.0000 0.2500 0.5000
Au1 Au 0.0000 0.0000 0.0000

***

[5]
# Pa2GaAu3 (PBE, relaxed)
# DFT total energy	-34.66	eV per cell
data_Pa2GaAu3
_cell_length_a 3.2375
_cell_length_b 4.7321
_cell_length_c 8.2001
_cell_angle_alpha 90.00
_cell_angle_beta 90.00
_cell_angle_gamma 90.00
_space_group_name_H-M_alt 'P m m 2'
_space_group_IT_number 25
_space_group_name_Hall 'P 2 -2'
loop_
_atom_site_label
_atom_site_type_symbol
_atom_site_fract_x
_atom_site_fract_y
_atom_site_fract_z
Pa1 Pa 0.0000 0.0000 0.0000
Pa2 Pa 0.0000 0.5000 0.4946
Ga1 Ga 0.5000 0.5000 0.8274
Au1 Au 0.5000 0.0000 0.3336
Au2 Au 0.5000 0.0000 0.6733
Au3 Au 0.5000 0.5000 0.1532

***

[6]
# Ga2PbAu (PBE, relaxed)
# DFT total energy	-51.32	eV per cell
data_Ga2PbAu
_cell_length_a 7.0904
_cell_length_b 7.0904
_cell_length_c 7.0904
_cell_angle_alpha 90.00
_cell_angle_beta 90.00
_cell_angle_gamma 90.00
_space_group_name_H-M_alt 'F -4 3 m'
_space_group_IT_number 216
_space_group_name_Hall 'F -4 2 3'
loop_
_atom_site_label
_atom_site_type_symbol
_atom_site_fract_x
_atom_site_fract_y
_atom_site_fract_z
Ga1 Ga 0.0000 0.0000 0.0000
Ga2 Ga 0.2500 0.2500 0.2500
Pb1 Pb 0.0000 0.0000 0.5000
Au1 Au 0.2500 0.2500 0.7500

***

[7]
# GaPb2Au (PBE, relaxed)
# DFT total energy	-53.32	eV per cell
data_GaPb2Au
_cell_length_a 7.3962
_cell_length_b 7.3962
_cell_length_c 7.3962
_cell_angle_alpha 90.00
_cell_angle_beta 90.00
_cell_angle_gamma 90.00
_space_group_name_H-M_alt 'F -4 3 m'
_space_group_IT_number 216
_space_group_name_Hall 'F -4 2 3'
loop_
_atom_site_label
_atom_site_type_symbol
_atom_site_fract_x
_atom_site_fract_y
_atom_site_fract_z
Ga1 Ga 0.0000 0.0000 0.0000
Pb1 Pb 0.0000 0.0000 0.5000
Pb2 Pb 0.2500 0.2500 0.7500
Au1 Au 0.2500 0.2500 0.2500

***

[8]
# GaPdAu2 (PBE, relaxed)
# DFT total energy	-62.20	eV per cell
data_GaPdAu2
_cell_length_a 6.4527
_cell_length_b 6.4527
_cell_length_c 6.4527
_cell_angle_alpha 90.00
_cell_angle_beta 90.00
_cell_angle_gamma 90.00
_space_group_name_H-M_alt 'F -4 3 m'
_space_group_IT_number 216
_space_group_name_Hall 'F -4 2 3'
loop_
_atom_site_label
_atom_site_type_symbol
_atom_site_fract_x
_atom_site_fract_y
_atom_site_fract_z
Ga1 Ga 0.0000 0.0000 0.0000
Pd1 Pd 0.2500 0.2500 0.2500
Au1 Au 0.0000 0.0000 0.5000
Au2 Au 0.2500 0.2500 0.7500

***

Which of these has the lowest DFT total energy? Pa4Ga12Au